# GGA-PBE Th2Ga3Rh5, optimized geometry
data_Th2Ga3Rh5
_chemical_formula_sum 'Th8 Ga12 Rh20'
_symmetry_space_group_name_H-M 'C m c 21'
_symmetry_Int_Tables_number 36
_cell_length_a 4.222
_cell_length_b 25.331
_cell_length_c 6.729
_cell_angle_alpha 90.00
_cell_angle_beta 90.00
_cell_angle_gamma 90.00
loop_
_symmetry_equiv_pos_as_xyz
'x,y,z'
'-x,-y,z+1/2'
'-x,y,z'
'x,-y,z+1/2'
'x+1/2,y+1/2,z'
'-x+1/2,-y+1/2,z+1/2'
'-x+1/2,y+1/2,z'
'x+1/2,-y+1/2,z+1/2'
loop_
_atom_site_label
_atom_site_fract_x
_atom_site_fract_y
_atom_site_fract_z
Th1 0.000 0.021 0.000
Th2 0.000 0.323 0.961
Ga1 0.000 0.114 0.732
Ga2 0.000 0.276 0.462
Ga3 0.000 0.446 0.805
Rh1 0.000 0.105 0.317
Rh2 0.000 0.206 0.178
Rh3 0.000 0.212 0.756
Rh4 0.000 0.375 0.506
Rh5 0.000 0.452 0.186
# * total magnetization: 0.00 μB per formula unit
# * relative energy among the computed polymorphs: 34 meV per atom
# * formation energy from the elements: -17.00 kcal/mol of atoms
# * E: -6.805 eV per atom
# * crystal system: orthorhombic